This record from Alexandria describes crystalline Cs2HgAs at its relaxed geometry. The functional is PBE.

Cell and atoms, written as extended XYZ:
```
16
Lattice="6.150 0.000 0.000 0.000 11.118 0.000 0.000 0.000 11.167" Properties=species:S:1:pos:R:3 pbc="T T T"
Cs 1.559 1.601 0.801
Cs 4.591 9.517 10.367
Hg 4.577 5.301 2.792
As 4.633 2.541 2.792
As 1.517 8.577 8.376
As 1.558 3.018 8.376
Cs 4.634 3.958 6.384
As 4.592 8.099 2.792
Hg 1.502 0.258 8.376
Hg 4.648 10.860 2.792
Hg 1.573 5.817 8.376
Cs 4.591 9.517 6.384
Cs 1.516 7.159 0.801
Cs 4.634 3.958 10.367
Cs 1.516 7.159 4.783
Cs 1.559 1.601 4.783
```

Output
Magnetization: 0.0 Bohr magnetons per cell
Calculated density: 4.71 g cm⁻³
Energy relative to the elements: -0.3377 eV/atom